The following is a DFT calculation (PBE-GGA) of an optimized crystal structure of Ce5Sm3Bi8.

Results
The value obtained for the electronic total energy is -5.52 eV/atom. The formation energy comes out at -0.8429 eV per atom.

Cell lengths 9.1684, 9.1684, 22.4665 Å; angles 90.00, 90.00, 120.00 degrees
With the nearest neighbours (Å) after each atom.
Space group R-3m (No. 166, hexagonal axes)
Unique sites:
Ce  0.0000  0.0000  0.0000 (multiplicity 3)  6 Bi 3.24
Ce  0.0000  0.0000  0.5000 (multiplicity 3)  6 Bi 3.24
Ce  0.0000  0.5000  0.0000 (multiplicity 9)  6 Bi 3.25
Sm  0.0000  0.5000  0.5000 (multiplicity 9)  6 Bi 3.24
Bi  0.0000  0.0000  0.2497 (multiplicity 6)  3 Sm 3.24, 3 Ce 3.25
Bi  0.0006  0.5003  0.7503 (multiplicity 18)  2 Sm 3.24, 4 Ce 3.24-3.25